(1)
A plane-wave DFT calculation with GGA-PBE was carried out for an optimized crystal structure of RbBaLiCr2.

Total magnetic moment (μB per cell): 10.1
Electronic total energy (eV/atom): -3.785
Density (g cm⁻³): 3.06

The structure in POSCAR format:
```
RbBaLiCr2
1.0
5.5281 0.0000 0.0000
0.0000 5.9219 0.0000
0.0000 0.0000 5.5281
Cr Li Ba Rb
2 1 1 1
direct
0.0000 0.0000 0.5000
0.5000 0.0000 0.0000
0.0000 0.0000 0.0000
0.0000 0.5000 0.0000
0.5000 0.5000 0.5000
```

(2)
A plane-wave DFT calculation with GGA-PBE was carried out for an optimized crystal structure of Ba2LiCrSn.

Total magnetic moment (μB per cell): 4.6
Electronic total energy (eV/atom): -3.470
Density (g cm⁻³): 4.10

The structure in POSCAR format:
```
Ba2LiCrSn
1.0
6.1418 0.0000 0.0000
0.0000 4.8562 0.0000
0.0000 0.0000 6.1418
Cr Li Ba Sn
1 1 2 1
direct
0.0000 0.5000 0.0000
0.0000 0.0000 0.0000
0.5000 0.0000 0.0000
0.0000 0.0000 0.5000
0.5000 0.5000 0.5000
```

Among the records above, which one has the lowest density?
RbBaLiCr2

The highest total magnetic moment belongs to which entry?
RbBaLiCr2